(1)
LiAc2AlIr2: relaxed, PBE.

The structure in CIF format:
```
data_LiAc2AlIr2
_cell_length_a 5.935
_cell_length_b 15.626
_cell_length_c 5.950
_cell_angle_alpha 90.00
_cell_angle_beta 90.00
_cell_angle_gamma 90.00
_symmetry_space_group_name_H-M 'I b a m'
_symmetry_Int_Tables_number 72
_symmetry_space_group_name_Hall '-I 2 2c'
loop_
_atom_site_label
_atom_site_fract_x
_atom_site_fract_y
_atom_site_fract_z
Li1 0.000 0.000 0.250
Ac1 0.236 0.164 0.000
Al1 0.000 0.500 0.250
Ir1 0.221 0.390 0.000
```

Electronic total energy in eV/atom: -5.8688
DOS at the Fermi energy in states/eV per cell: 9.5
V in A^3/atom: 23.0
Formation energy from the elements in eV per formula unit: -3.62

(2)
Ac2MgAlIr2: relaxed, PBE.

The structure in CIF format:
```
data_Ac2MgAlIr2
_cell_length_a 5.953
_cell_length_b 16.494
_cell_length_c 5.932
_cell_angle_alpha 90.00
_cell_angle_beta 90.00
_cell_angle_gamma 90.00
_symmetry_space_group_name_H-M 'I b a m'
_symmetry_Int_Tables_number 72
_symmetry_space_group_name_Hall '-I 2 2c'
loop_
_atom_site_label
_atom_site_fract_x
_atom_site_fract_y
_atom_site_fract_z
Ac1 0.247 0.165 0.000
Mg1 0.000 0.000 0.250
Al1 0.000 0.500 0.250
Ir1 0.228 0.399 0.000
```

Electronic total energy in eV/atom: -5.8466
DOS at the Fermi energy in states/eV per cell: 12.6
V in A^3/atom: 24.3
Formation energy from the elements in eV per formula unit: -3.80

(3)
Ac2MgAl12Ir3: relaxed, PBE.

The structure in CIF format:
```
data_Ac2MgAl12Ir3
_cell_length_a 9.1470
_cell_length_b 9.1470
_cell_length_c 18.3700
_cell_angle_alpha 90.00
_cell_angle_beta 90.00
_cell_angle_gamma 120.00
_symmetry_space_group_name_H-M 'R -3 m'
_symmetry_Int_Tables_number 166
_symmetry_space_group_name_Hall '-R 3 2"'
loop_
_atom_site_label
_atom_site_fract_x
_atom_site_fract_y
_atom_site_fract_z
Ac1 0.0000 0.0000 0.0996
Mg1 0.0000 0.0000 0.5000
Al1 0.0017 0.5008 0.8683
Al2 0.0850 0.5425 0.3060
Ir1 0.0000 0.5000 0.0000
```

Electronic total energy in eV/atom: -4.5444
DOS at the Fermi energy in states/eV per cell: 30.2
V in A^3/atom: 24.6
Formation energy from the elements in eV per formula unit: -0.49

(4)
AcAlIrN: relaxed, PBE.

The structure in CIF format:
```
data_AcAlIrN
_cell_length_a 4.182
_cell_length_b 4.182
_cell_length_c 8.540
_cell_angle_alpha 90.00
_cell_angle_beta 90.00
_cell_angle_gamma 90.00
_symmetry_space_group_name_H-M 'P 4/n m m'
_symmetry_Int_Tables_number 129
loop_
_symmetry_equiv_pos_as_xyz
'x,y,z'
'-x,-y,-z'
'-y+1/2,x,z'
'y+1/2,-x,-z'
'-x+1/2,-y+1/2,z'
'x+1/2,y+1/2,-z'
'y,-x+1/2,z'
'-y,x+1/2,-z'
'x+1/2,-y,-z'
'-x+1/2,y,z'
'-y,-x,-z'
'y,x,z'
'-x,y+1/2,-z'
'x,-y+1/2,z'
'y+1/2,x+1/2,-z'
'-y+1/2,-x+1/2,z'
loop_
_atom_site_label
_atom_site_fract_x
_atom_site_fract_y
_atom_site_fract_z
Ac1 0.250 0.250 0.163
Al1 0.250 0.250 0.650
Ir1 0.250 0.750 0.500
N1 0.250 0.250 0.870
```

Electronic total energy in eV/atom: -7.2506
DOS at the Fermi energy in states/eV per cell: 2.4
V in A^3/atom: 18.7
ΔE_f (raw) in meV per atom: -991

(5)
AcNdAlIr: relaxed, PBE.

The structure in CIF format:
```
data_AcNdAlIr
_cell_length_a 7.475
_cell_length_b 7.475
_cell_length_c 7.475
_cell_angle_alpha 90.00
_cell_angle_beta 90.00
_cell_angle_gamma 90.00
_symmetry_space_group_name_H-M 'F -4 3 m'
_symmetry_Int_Tables_number 216
_symmetry_space_group_name_Hall 'F -4 2 3'
loop_
_atom_site_label
_atom_site_fract_x
_atom_site_fract_y
_atom_site_fract_z
Ac1 0.000 0.000 0.000
Nd1 0.000 0.000 0.500
Al1 0.250 0.250 0.250
Ir1 0.250 0.250 0.750
```

Electronic total energy in eV/atom: -5.6507
DOS at the Fermi energy in states/eV per cell: 14.4
V in A^3/atom: 26.1
Formation energy from the elements in eV per formula unit: -1.12

(6)
Ac2Al4NiIr3: relaxed, PBE.

The structure in CIF format:
```
data_Ac2Al4NiIr3
_cell_length_a 4.323
_cell_length_b 4.323
_cell_length_c 10.525
_cell_angle_alpha 90.00
_cell_angle_beta 90.00
_cell_angle_gamma 90.00
_symmetry_space_group_name_H-M 'P -4 m 2'
_symmetry_Int_Tables_number 115
_symmetry_space_group_name_Hall 'P -4 -2'
loop_
_atom_site_label
_atom_site_fract_x
_atom_site_fract_y
_atom_site_fract_z
Ac1 0.000 0.500 0.243
Al1 0.000 0.000 0.500
Al2 0.000 0.500 0.885
Al3 0.500 0.500 0.500
Ni1 0.500 0.500 0.000
Ir1 0.000 0.000 0.000
Ir2 0.000 0.500 0.634
```

Electronic total energy in eV/atom: -6.3125
DOS at the Fermi energy in states/eV per cell: 5.6
V in A^3/atom: 19.7
Formation energy from the elements in eV per formula unit: -7.57